DFT (PBE) results for a relaxed LiSb2Au crystal.

Structure (CIF):
```
data_LiSb2Au
_chemical_formula_sum 'Li1 Sb2 Au1'
_cell_length_a 4.4211
_cell_length_b 3.2327
_cell_length_c 6.5350
_cell_angle_alpha 89.84
_cell_angle_beta 90.00
_cell_angle_gamma 90.00
_symmetry_space_group_name_H-M 'P 1'
_symmetry_Int_Tables_number 1
loop_
_symmetry_equiv_pos_as_xyz
'x,y,z'
loop_
_atom_site_label
_atom_site_type_symbol
_atom_site_fract_x
_atom_site_fract_y
_atom_site_fract_z
_atom_site_occupancy
Au1 Au 0.5000 0.2500 0.2500 1
Li1 Li 0.5000 0.7500 0.7500 1
Sb1 Sb 0.0000 0.2477 0.9827 1
Sb2 Sb 0.0000 0.2523 0.5173 1
```

## Properties
SG ... P2/m, No. 10
Distance to the lowest polymorph of the same formula ... 36 meV/atom
Density ... 7.955 g/cm3
Final energy ... -14.3 eV for the cell shown

***

DFT (PBE) results for a relaxed Li2SbAu crystal.

Structure (CIF):
```
data_Li2SbAu
_chemical_formula_sum 'Li2 Sb1 Au1'
_cell_length_a 3.2132
_cell_length_b 3.2132
_cell_length_c 8.7843
_cell_angle_alpha 79.46
_cell_angle_beta 79.46
_cell_angle_gamma 60.00
_symmetry_space_group_name_H-M 'P 1'
_symmetry_Int_Tables_number 1
loop_
_symmetry_equiv_pos_as_xyz
'x,y,z'
loop_
_atom_site_label
_atom_site_type_symbol
_atom_site_fract_x
_atom_site_fract_y
_atom_site_fract_z
_atom_site_occupancy
Li1 Li 0.0774 0.0774 0.7677 1
Li2 Li 0.2558 0.2558 0.2325 1
Sb1 Sb 0.5005 0.5005 0.4986 1
Au1 Au 0.6662 0.6662 0.0013 1
```

## Properties
SG ... R3m, No. 160
Density ... 7.194 g/cm3
Final energy ... -12.6 eV for the cell shown

***

DFT (PBE) results for a relaxed Li2SbAu crystal.

Structure (CIF):
```
data_Li2SbAu
_chemical_formula_sum 'Li2 Sb1 Au1'
_cell_length_a 7.2097
_cell_length_b 4.1533
_cell_length_c 4.1593
_cell_angle_alpha 90.22
_cell_angle_beta 54.46
_cell_angle_gamma 125.23
_symmetry_space_group_name_H-M 'P 1'
_symmetry_Int_Tables_number 1
loop_
_symmetry_equiv_pos_as_xyz
'x,y,z'
loop_
_atom_site_label
_atom_site_type_symbol
_atom_site_fract_x
_atom_site_fract_y
_atom_site_fract_z
_atom_site_occupancy
Sb1 Sb 0.0000 0.5000 0.5000 1
Au1 Au 0.5000 0.5000 0.0000 1
Li1 Li 0.0000 0.0000 0.0000 1
Li2 Li 0.5000 0.0000 0.5000 1
```

## Properties
SG ... C2/m, No. 12
Density ... 7.698 g/cm3
Final energy ... -13.2 eV for the cell shown

***

DFT (PBE) results for a relaxed LiSb2Au crystal.

Structure (CIF):
```
data_LiSb2Au
_chemical_formula_sum 'Li1 Sb2 Au1'
_cell_length_a 5.0680
_cell_length_b 5.0680
_cell_length_c 5.0680
_cell_angle_alpha 60.00
_cell_angle_beta 60.00
_cell_angle_gamma 60.00
_symmetry_space_group_name_H-M 'P 1'
_symmetry_Int_Tables_number 1
loop_
_symmetry_equiv_pos_as_xyz
'x,y,z'
loop_
_atom_site_label
_atom_site_type_symbol
_atom_site_fract_x
_atom_site_fract_y
_atom_site_fract_z
_atom_site_occupancy
Au1 Au 0.5000 0.5000 0.5000 1
Li1 Li 0.7500 0.7500 0.7500 1
Sb1 Sb 0.0000 0.0000 0.0000 1
Sb2 Sb 0.2500 0.2500 0.2500 1
```

## Properties
SG ... F-43m, No. 216
Distance to the lowest polymorph of the same formula ... 178 meV/atom
Density ... 8.072 g/cm3
Final energy ... -13.7 eV for the cell shown

***

DFT (PBE) results for a relaxed Li2SbAu5 crystal.

Structure (CIF):
```
data_Li2SbAu5
_chemical_formula_sum 'Li2 Sb1 Au5'
_cell_length_a 5.9354
_cell_length_b 5.9353
_cell_length_c 5.8422
_cell_angle_alpha 120.62
_cell_angle_beta 120.62
_cell_angle_gamma 89.88
_symmetry_space_group_name_H-M 'P 1'
_symmetry_Int_Tables_number 1
loop_
_symmetry_equiv_pos_as_xyz
'x,y,z'
loop_
_atom_site_label
_atom_site_type_symbol
_atom_site_fract_x
_atom_site_fract_y
_atom_site_fract_z
_atom_site_occupancy
Li1 Li 0.2221 0.7221 0.4442 1
Li2 Li 0.7221 0.2221 0.4442 1
Sb1 Sb 0.2221 0.2221 0.4443 1
Au1 Au 0.7222 0.2221 0.9443 1
Au2 Au 0.2221 0.2221 0.9443 1
Au3 Au 0.7222 0.7222 0.9443 1
Au4 Au 0.2221 0.7222 0.9443 1
Au5 Au 0.7221 0.7221 0.4442 1
```

## Properties
SG ... Fmmm, No. 69
Distance to the lowest polymorph of the same formula ... 19 meV/atom
Density ... 13.017 g/cm3
Final energy ... -26.9 eV for the cell shown

***

DFT (PBE) results for a relaxed Li3SbAu4 crystal.

Structure (CIF):
```
data_Li3SbAu4
_chemical_formula_sum 'Li6 Sb2 Au8'
_cell_length_a 4.4882
_cell_length_b 6.7796
_cell_length_c 8.9797
_cell_angle_alpha 90.00
_cell_angle_beta 90.00
_cell_angle_gamma 90.00
_symmetry_space_group_name_H-M 'P 1'
_symmetry_Int_Tables_number 1
loop_
_symmetry_equiv_pos_as_xyz
'x,y,z'
loop_
_atom_site_label
_atom_site_type_symbol
_atom_site_fract_x
_atom_site_fract_y
_atom_site_fract_z
_atom_site_occupancy
Sb1 Sb 0.0000 0.5000 0.0000 1
Sb2 Sb 0.0000 0.5000 0.5000 1
Au1 Au 0.5000 0.7790 0.0000 1
Au2 Au 0.5000 0.7790 0.5000 1
Au3 Au 0.5000 0.2210 0.0000 1
Au4 Au 0.5000 0.2210 0.5000 1
Au5 Au 0.0009 0.7790 0.7500 1
Au6 Au 0.9991 0.7790 0.2500 1
Au7 Au 0.9991 0.2210 0.2500 1
Au8 Au 0.0009 0.2210 0.7500 1
Li1 Li 0.0000 0.0000 0.0000 1
Li2 Li 0.0000 0.0000 0.5000 1
Li3 Li 0.5010 0.0000 0.7500 1
Li4 Li 0.4990 0.0000 0.2500 1
Li5 Li 0.5005 0.5000 0.7500 1
Li6 Li 0.4995 0.5000 0.2500 1
```

## Properties
SG ... P4/mmm, No. 123
Density ... 11.309 g/cm3
Final energy ... -52.9 eV for the cell shown

***

DFT (PBE) results for a relaxed Li4SbAu7 crystal.

Structure (CIF):
```
data_Li4SbAu7
_chemical_formula_sum 'Li4 Sb1 Au7'
_cell_length_a 5.1668
_cell_length_b 8.8541
_cell_length_c 5.9586
_cell_angle_alpha 80.71
_cell_angle_beta 64.31
_cell_angle_gamma 73.04
_symmetry_space_group_name_H-M 'P 1'
_symmetry_Int_Tables_number 1
loop_
_symmetry_equiv_pos_as_xyz
'x,y,z'
loop_
_atom_site_label
_atom_site_type_symbol
_atom_site_fract_x
_atom_site_fract_y
_atom_site_fract_z
_atom_site_occupancy
Li1 Li 0.5965 0.2284 0.5785 1
Li2 Li 0.4035 0.7716 0.4215 1
Li3 Li 0.7677 0.6580 0.8066 1
Li4 Li 0.2323 0.3420 0.1934 1
Sb1 Sb 0.0000 0.0000 0.0000 1
Au1 Au 0.7863 0.9131 0.5143 1
Au2 Au 0.2137 0.0869 0.4857 1
Au3 Au 0.0681 0.6610 0.2027 1
Au4 Au 0.9319 0.3389 0.7973 1
Au5 Au 0.3653 0.5159 0.7534 1
Au6 Au 0.5000 0.0000 0.0000 1
Au7 Au 0.6347 0.4841 0.2466 1
```

## Properties
SG ... C2/m, No. 12
Density ... 10.810 g/cm3
Final energy ... -38.0 eV for the cell shown

***

DFT (PBE) results for a relaxed LiScSbAu crystal.

Structure (CIF):
```
data_LiScSbAu
_chemical_formula_sum 'Li1 Sc1 Sb1 Au1'
_cell_length_a 4.8340
_cell_length_b 4.8340
_cell_length_c 4.8340
_cell_angle_alpha 60.00
_cell_angle_beta 60.00
_cell_angle_gamma 60.00
_symmetry_space_group_name_H-M 'P 1'
_symmetry_Int_Tables_number 1
loop_
_symmetry_equiv_pos_as_xyz
'x,y,z'
loop_
_atom_site_label
_atom_site_type_symbol
_atom_site_fract_x
_atom_site_fract_y
_atom_site_fract_z
_atom_site_occupancy
Sc1 Sc 0.0000 0.0000 0.0000 1
Sb1 Sb 0.2500 0.2500 0.2500 1
Au1 Au 0.7500 0.7500 0.7500 1
Li1 Li 0.5000 0.5000 0.5000 1
```

## Properties
SG ... F-43m, No. 216
Density ... 7.705 g/cm3
Final energy ... -18.4 eV for the cell shown

***

DFT (PBE) results for a relaxed Li2SmSb2Au2 crystal.

Structure (CIF):
```
data_Li2SmSb2Au2
_chemical_formula_sum 'Li2 Sm1 Sb2 Au2'
_cell_length_a 4.5477
_cell_length_b 4.5477
_cell_length_c 8.7268
_cell_angle_alpha 74.90
_cell_angle_beta 74.90
_cell_angle_gamma 60.00
_symmetry_space_group_name_H-M 'P 1'
_symmetry_Int_Tables_number 1
loop_
_symmetry_equiv_pos_as_xyz
'x,y,z'
loop_
_atom_site_label
_atom_site_type_symbol
_atom_site_fract_x
_atom_site_fract_y
_atom_site_fract_z
_atom_site_occupancy
Li1 Li 0.1442 0.1442 0.5675 1
Li2 Li 0.8558 0.8558 0.4325 1
Sm1 Sm 0.0000 0.0000 0.0000 1
Sb1 Sb 0.7390 0.7390 0.7831 1
Sb2 Sb 0.2610 0.2610 0.2169 1
Au1 Au 0.5577 0.5577 0.3269 1
Au2 Au 0.4423 0.4423 0.6731 1
```

## Properties
SG ... R-3m, No. 166
Density ... 8.931 g/cm3
Final energy ... -28.1 eV for the cell shown

***

DFT (PBE) results for a relaxed Li2SnSbAu4 crystal.

Structure (CIF):
```
data_Li2SnSbAu4
_chemical_formula_sum 'Li2 Sn1 Sb1 Au4'
_cell_length_a 4.7463
_cell_length_b 4.7463
_cell_length_c 8.2429
_cell_angle_alpha 73.27
_cell_angle_beta 73.27
_cell_angle_gamma 60.00
_symmetry_space_group_name_H-M 'P 1'
_symmetry_Int_Tables_number 1
loop_
_symmetry_equiv_pos_as_xyz
'x,y,z'
loop_
_atom_site_label
_atom_site_type_symbol
_atom_site_fract_x
_atom_site_fract_y
_atom_site_fract_z
_atom_site_occupancy
Li1 Li 0.7505 0.7505 0.7486 1
Li2 Li 0.2495 0.2495 0.2514 1
Sn1 Sn 0.0000 0.0000 0.0000 1
Sb1 Sb 0.5000 0.5000 0.5000 1
Au1 Au 0.3738 0.3738 0.8786 1
Au2 Au 0.8770 0.8770 0.3691 1
Au3 Au 0.1230 0.1230 0.6309 1
Au4 Au 0.6262 0.6262 0.1214 1
```

## Properties
SG ... R-3m, No. 166
Density ... 11.411 g/cm3
Final energy ... -27.9 eV for the cell shown

***

DFT (PBE) results for a relaxed SrLiSb2Au4 crystal.

Structure (CIF):
```
data_SrLiSb2Au4
_chemical_formula_sum 'Sr1 Li1 Sb2 Au4'
_cell_length_a 4.7548
_cell_length_b 4.7548
_cell_length_c 9.5634
_cell_angle_alpha 75.61
_cell_angle_beta 75.61
_cell_angle_gamma 60.00
_symmetry_space_group_name_H-M 'P 1'
_symmetry_Int_Tables_number 1
loop_
_symmetry_equiv_pos_as_xyz
'x,y,z'
loop_
_atom_site_label
_atom_site_type_symbol
_atom_site_fract_x
_atom_site_fract_y
_atom_site_fract_z
_atom_site_occupancy
Sr1 Sr 0.0000 0.0000 0.0000 1
Li1 Li 0.5000 0.5000 0.5000 1
Sb1 Sb 0.7555 0.7555 0.7334 1
Sb2 Sb 0.2445 0.2445 0.2666 1
Au1 Au 0.3990 0.3990 0.8031 1
Au2 Au 0.8578 0.8578 0.4266 1
Au3 Au 0.1422 0.1422 0.5734 1
Au4 Au 0.6010 0.6010 0.1969 1
```

## Properties
SG ... R-3m, No. 166
Density ... 10.424 g/cm3
Final energy ... -28.5 eV for the cell shown

***

DFT (PBE) results for a relaxed SrLiSbAu crystal.

Structure (CIF):
```
data_SrLiSbAu
_chemical_formula_sum 'Sr1 Li1 Sb1 Au1'
_cell_length_a 5.2508
_cell_length_b 5.2508
_cell_length_c 5.2508
_cell_angle_alpha 60.00
_cell_angle_beta 60.00
_cell_angle_gamma 60.00
_symmetry_space_group_name_H-M 'P 1'
_symmetry_Int_Tables_number 1
loop_
_symmetry_equiv_pos_as_xyz
'x,y,z'
loop_
_atom_site_label
_atom_site_type_symbol
_atom_site_fract_x
_atom_site_fract_y
_atom_site_fract_z
_atom_site_occupancy
Sb1 Sb 0.5000 0.5000 0.5000 1
Li1 Li 0.2500 0.2500 0.2500 1
Au1 Au 0.0000 0.0000 0.0000 1
Sr1 Sr 0.7500 0.7500 0.7500 1
```

## Properties
SG ... F-43m, No. 216
Density ... 6.704 g/cm3
Final energy ... -13.3 eV for the cell shown

***

no.,ΔE_f (raw) (meV per atom)
1,-206
2,-341
3,-493
4,-64
5,-316
6,-433
7,-272
8,-683
9,-679
10,-352
11,-446
12,-581